1.
Here is a relaxed CePuMgZn crystal from Alexandria. Energies are from PBE.

Properties
M_tot   7.2 μB/f.u.
E   -5.715 eV/atom
E_form   69 meV/atom
Symmetry   F-43m (216)

Cell lengths 5.2248, 5.2248, 5.2248 Å; angles 60.00, 60.00, 60.00 degrees
Closest atoms and distances in Å follow each position.
Fractional coordinates of all 4 atoms:
Ce 0.0000 0.0000 0.0000  4 Mg 3.20, 4 Zn 3.20
Pu 0.5000 0.5000 0.5000  4 Mg 3.20, 4 Zn 3.20
Mg 0.7500 0.7500 0.7500  4 Ce 3.20, 4 Pu 3.20
Zn 0.2500 0.2500 0.2500  4 Ce 3.20, 4 Pu 3.20

2.
Here is a relaxed CePuMgZr crystal from Alexandria. Energies are from PBE.

Properties
M_tot   7.9 μB/f.u.
E   -7.451 eV/atom
E_form   151 meV/atom
Symmetry   F-43m (216)

Cell lengths 5.1988, 5.1988, 5.1988 Å; angles 60.00, 60.00, 60.00 degrees
Closest atoms and distances in Å follow each position.
Fractional coordinates of all 4 atoms:
Ce 0.0000 0.0000 0.0000  4 Pu 3.18, 4 Mg 3.18
Pu 0.7500 0.7500 0.7500  4 Zr 3.18, 4 Ce 3.18
Mg 0.2500 0.2500 0.2500  4 Zr 3.18, 4 Ce 3.18
Zr 0.5000 0.5000 0.5000  4 Mg 3.18, 4 Pu 3.18

3.
Here is a relaxed RbCeMg14 crystal from Alexandria. Energies are from PBE.

Properties
Energy above the most stable polymorph in this dataset   0.018 eV per atom
M_tot   1.4 μB/f.u.
E   -1.667 eV/atom
E_form   159 meV/atom
Symmetry   Amm2 (38)

Cell lengths 10.6960, 6.5311, 6.5311 Å; angles 64.07, 90.00, 90.00 degrees
Closest atoms and distances in Å follow each position.
Fractional coordinates of all 16 atoms:
Rb 0.0000 0.0000 0.0000  8 Mg 3.26-3.43, 2 Ce 3.47
Ce 0.0000 0.4926 0.4926  8 Mg 3.24-3.42, 2 Rb 3.47
Mg 0.0000 0.5048 0.9912  5 Mg 3.17-3.37, 2 Ce 3.24-3.29, 2 Rb 3.26-3.27
Mg 0.0000 0.9912 0.5048  5 Mg 3.17-3.37, 2 Ce 3.24-3.29, 2 Rb 3.26-3.27
Mg 0.2474 0.2407 0.2407  11 Mg 3.16-3.47
Mg 0.2492 0.7206 0.7206  11 Mg 3.17-3.47
Mg 0.2755 0.2283 0.7280  7 Mg 3.07-3.40, 1 Ce 3.42, 1 Rb 3.43
Mg 0.2755 0.7280 0.2283  7 Mg 3.07-3.40, 1 Ce 3.42, 1 Rb 3.43
Mg 0.5000 0.4005 0.9180  11 Mg 3.13-3.37
Mg 0.5000 0.4042 0.4042  10 Mg 3.07-3.35
Mg 0.5000 0.8954 0.8954  12 Mg 3.10-3.47
Mg 0.5000 0.9180 0.4005  11 Mg 3.13-3.37
Mg 0.7245 0.2283 0.7280  7 Mg 3.07-3.40, 1 Ce 3.42, 1 Rb 3.43
Mg 0.7245 0.7280 0.2283  7 Mg 3.07-3.40, 1 Ce 3.42, 1 Rb 3.43
Mg 0.7508 0.7206 0.7206  11 Mg 3.17-3.47
Mg 0.7526 0.2407 0.2407  11 Mg 3.16-3.47

4.
Here is a relaxed RbCeMg14 crystal from Alexandria. Energies are from PBE.

Properties
Energy above the most stable polymorph in this dataset   0.000 eV per atom
M_tot   1.0 μB/f.u.
E   -1.685 eV/atom
E_form   142 meV/atom
Symmetry   P-6m2 (187)

Cell lengths 6.7507, 6.7507, 10.5797 Å; angles 90.00, 90.00, 120.00 degrees
Closest atoms and distances in Å follow each position.
Fractional coordinates of all 16 atoms:
Rb 0.0000 0.0000 0.0000  12 Mg 3.38-3.41
Ce 0.0000 0.0000 0.5000  12 Mg 3.27-3.38
Mg 0.0071 0.5036 0.5000  10 Mg 3.18-3.45, 2 Ce 3.38
Mg 0.0079 0.5040 0.0000  10 Mg 3.30-3.46, 2 Rb 3.38
Mg 0.1741 0.3482 0.2583  10 Mg 3.18-3.53, 1 Ce 3.27, 1 Rb 3.41
Mg 0.1741 0.3482 0.7417  10 Mg 3.18-3.53, 1 Ce 3.27, 1 Rb 3.41
Mg 0.1741 0.8259 0.2583  10 Mg 3.18-3.53, 1 Ce 3.27, 1 Rb 3.41
Mg 0.1741 0.8259 0.7417  10 Mg 3.18-3.53, 1 Ce 3.27, 1 Rb 3.41
Mg 0.4960 0.5040 0.0000  10 Mg 3.30-3.46, 2 Rb 3.38
Mg 0.4964 0.5036 0.5000  10 Mg 3.18-3.45, 2 Ce 3.38
Mg 0.4960 0.9921 0.0000  10 Mg 3.30-3.46, 2 Rb 3.38
Mg 0.4964 0.9929 0.5000  10 Mg 3.18-3.45, 2 Ce 3.38
Mg 0.6518 0.8259 0.2583  10 Mg 3.18-3.53, 1 Ce 3.27, 1 Rb 3.41
Mg 0.6518 0.8259 0.7417  10 Mg 3.18-3.53, 1 Ce 3.27, 1 Rb 3.41
Mg 0.6667 0.3333 0.2538  12 Mg 3.28-3.38
Mg 0.6667 0.3333 0.7462  12 Mg 3.28-3.38

5.
Here is a relaxed Rb2CeMgS4 crystal from Alexandria. Energies are from PBE.

Properties
M_tot   0.0 μB/f.u.
E   -4.679 eV/atom
Energy relative to the elements, uncorrected   -11.5 eV per formula unit
Symmetry   Imma (74)

Cell lengths 8.4815, 8.4815, 8.4815 Å; angles 120.30, 119.78, 89.93 degrees
Closest atoms and distances in Å follow each position.
Fractional coordinates of all 16 atoms:
Rb 0.0000 0.0000 0.0000  6 S 3.25-3.28
Rb 0.5000 0.0000 0.0000  6 S 3.21-3.29
Rb 0.5000 0.0000 0.5000  6 S 3.25-3.28
Rb 0.5000 0.5000 0.5000  6 S 3.21-3.29
Ce 0.0000 0.5000 0.5000  6 S 2.77-2.78
Ce 0.5000 0.5000 0.0000  6 S 2.77-2.78
Mg 0.0000 0.0000 0.5000  6 S 2.75-2.83
Mg 0.0000 0.5000 0.0000  6 S 2.75-2.83
S 0.1831 0.7283 0.4547  2 Mg 2.75, 1 Ce 2.77
S 0.2264 0.2717 0.9547  2 Mg 2.75, 1 Ce 2.77
S 0.2338 0.2734 0.5396  2 Ce 2.78, 1 Mg 2.83
S 0.2338 0.6942 0.9604  2 Ce 2.78, 1 Mg 2.83
S 0.7662 0.3058 0.0396  2 Ce 2.78, 1 Mg 2.83
S 0.7662 0.7266 0.4604  2 Ce 2.78, 1 Mg 2.83
S 0.7736 0.7283 0.0453  2 Mg 2.75, 1 Ce 2.77
S 0.8169 0.2717 0.5453  2 Mg 2.75, 1 Ce 2.77

6.
Here is a relaxed RbCeMgS3 crystal from Alexandria. Energies are from PBE.

Properties
M_tot   1.0 μB/f.u.
E   -5.087 eV/atom
Energy relative to the elements, uncorrected   -9.6 eV per formula unit
Symmetry   P2_1/m (11)

Cell lengths 9.1417, 4.2449, 9.9347 Å; angles 90.00, 106.05, 90.00 degrees
Closest atoms and distances in Å follow each position.
Fractional coordinates of all 12 atoms:
Rb 0.1980 0.2500 0.2189  5 S 3.42-3.53
Rb 0.8020 0.7500 0.7811  5 S 3.42-3.53
Ce 0.3356 0.7500 0.8573  6 S 2.79-3.09
Ce 0.6644 0.2500 0.1427  6 S 2.79-3.09
Mg 0.0849 0.2500 0.6063  4 S 2.40-2.49
Mg 0.9151 0.7500 0.3937  4 S 2.40-2.49
S 0.1231 0.2500 0.8555  1 Mg 2.40
S 0.1852 0.7500 0.5383  3 Mg 2.48-2.49
S 0.4601 0.7500 0.1479  3 Ce 2.79-2.84
S 0.5399 0.2500 0.8521  3 Ce 2.79-2.84
S 0.8148 0.2500 0.4617  3 Mg 2.48-2.49
S 0.8769 0.7500 0.1445  1 Mg 2.40